# Ac12Fe5Hg3, optimized geometry, DFT PBE
data_Ac12Fe5Hg3
_chemical_formula_sum 'Ac48 Fe20 Hg12'
_symmetry_space_group_name_H-M 'P 1'
_symmetry_Int_Tables_number 1
_symmetry_space_group_name_Hall 'P 1'
_cell_length_a 15.336
_cell_length_b 15.336
_cell_length_c 15.336
_cell_angle_alpha 109.47
_cell_angle_beta 109.47
_cell_angle_gamma 109.47
loop_
_atom_site_label
_atom_site_type_symbol
_atom_site_fract_x
_atom_site_fract_y
_atom_site_fract_z
Ac1 Ac 0.702 0.116 0.019
Ac2 Ac 0.317 0.519 0.404
Ac3 Ac 0.981 0.384 0.298
Ac4 Ac 0.519 0.202 0.116
Ac5 Ac 0.587 0.702 0.683
Ac6 Ac 0.981 0.596 0.183
Ac7 Ac 0.317 0.798 0.413
Ac8 Ac 0.096 0.913 0.116
Ac9 Ac 0.596 0.981 0.683
Ac10 Ac 0.702 0.587 0.183
Ac11 Ac 0.798 0.481 0.384
Ac12 Ac 0.817 0.904 0.019
Ac13 Ac 0.116 0.702 0.519
Ac14 Ac 0.384 0.404 0.087
Ac15 Ac 0.087 0.904 0.384
Ac16 Ac 0.413 0.116 0.596
Ac17 Ac 0.087 0.183 0.202
Ac18 Ac 0.481 0.683 0.096
Ac19 Ac 0.817 0.913 0.298
Ac20 Ac 0.116 0.413 0.096
Ac21 Ac 0.384 0.981 0.798
Ac22 Ac 0.596 0.616 0.413
Ac23 Ac 0.904 0.817 0.519
Ac24 Ac 0.798 0.317 0.913
Ac25 Ac 0.404 0.384 0.587
Ac26 Ac 0.096 0.183 0.481
Ac27 Ac 0.202 0.683 0.087
Ac28 Ac 0.183 0.087 0.702
Ac29 Ac 0.616 0.019 0.202
Ac30 Ac 0.884 0.587 0.904
Ac31 Ac 0.519 0.317 0.904
Ac32 Ac 0.587 0.884 0.404
Ac33 Ac 0.913 0.817 0.798
Ac34 Ac 0.913 0.096 0.616
Ac35 Ac 0.884 0.298 0.481
Ac36 Ac 0.183 0.096 0.981
Ac37 Ac 0.616 0.596 0.913
Ac38 Ac 0.404 0.019 0.317
Ac39 Ac 0.298 0.413 0.817
Ac40 Ac 0.202 0.519 0.616
Ac41 Ac 0.904 0.087 0.884
Ac42 Ac 0.683 0.202 0.587
Ac43 Ac 0.481 0.798 0.884
Ac44 Ac 0.019 0.404 0.817
Ac45 Ac 0.413 0.298 0.317
Ac46 Ac 0.019 0.616 0.702
Ac47 Ac 0.683 0.481 0.596
Ac48 Ac 0.298 0.884 0.981
Hg1 Hg 0.750 0.375 0.125
Hg2 Hg 0.875 0.750 0.125
Hg3 Hg 0.375 0.750 0.625
Hg4 Hg 0.250 0.125 0.375
Hg5 Hg 0.875 0.125 0.250
Hg6 Hg 0.375 0.625 0.250
Hg7 Hg 0.625 0.375 0.750
Hg8 Hg 0.125 0.875 0.750
Hg9 Hg 0.750 0.875 0.625
Hg10 Hg 0.625 0.250 0.375
Hg11 Hg 0.125 0.250 0.875
Hg12 Hg 0.250 0.625 0.875
Fe1 Fe 0.125 0.375 0.250
Fe2 Fe 0.000 0.500 0.000
Fe3 Fe 0.000 0.000 0.000
Fe4 Fe 0.375 0.250 0.125
Fe5 Fe 0.500 0.000 0.500
Fe6 Fe 0.500 0.500 0.000
Fe7 Fe 0.125 0.750 0.375
Fe8 Fe 0.750 0.125 0.875
Fe9 Fe 0.750 0.625 0.375
Fe10 Fe 0.375 0.125 0.750
Fe11 Fe 0.625 0.875 0.250
Fe12 Fe 0.500 0.500 0.500
Fe13 Fe 0.500 0.000 0.000
Fe14 Fe 0.000 0.000 0.500
Fe15 Fe 0.250 0.375 0.625
Fe16 Fe 0.250 0.875 0.125
Fe17 Fe 0.000 0.500 0.500
Fe18 Fe 0.875 0.250 0.625
Fe19 Fe 0.625 0.750 0.875
Fe20 Fe 0.875 0.625 0.750
# **Formation energy from the elements**: 0.20 eV per atom
# **Crystal system**: cubic
# **M_tot**: 0.00 μB/cell